[1]
Sc3AlZn4 after structural relaxation, computed with PBE-GGA.

abc: 9.461 9.461 9.461
angles: 161.09 145.93 39.25
Fractional positions:
Sc: 0.000 0.000 0.000
Sc: 0.264 0.764 0.500
Sc: 0.736 0.236 0.500
Al: 0.500 0.500 0.000
Zn: 0.117 0.377 0.740
Zn: 0.363 0.623 0.740
Zn: 0.637 0.377 0.260
Zn: 0.883 0.623 0.260

[2]
Sc2InOs after structural relaxation, computed with PBE-GGA.

abc: 9.198 9.198 9.198
angles: 20.33 20.33 20.33
Fractional positions:
Sc: 0.238 0.238 0.238
Sc: 0.762 0.762 0.762
In: 0.000 0.000 0.000
Os: 0.500 0.500 0.500

[3]
LaSmAs2Pd5 after structural relaxation, computed with PBE-GGA.

abc: 4.288 4.288 9.435
angles: 90.00 90.00 90.00
Fractional positions:
La: 0.000 0.000 0.000
Sm: 0.000 0.000 0.500
As: 0.500 0.500 0.363
As: 0.500 0.500 0.637
Pd: 0.000 0.500 0.226
Pd: 0.000 0.500 0.774
Pd: 0.500 0.000 0.226
Pd: 0.500 0.000 0.774
Pd: 0.500 0.500 0.000

| no. | energy relative to the elements (meV per atom) | electronic total energy (eV/atom) |
| --- | --- | --- |
| 1 | -164.6 | -3.644 |
| 2 | -210.8 | -6.869 |
| 3 | -818.4 | -5.808 |